Computed, not measured: a relaxed structure of Nd3HgPt8 at the GGA-PBE level of DFT.

a = 9.5033 Å, b = 9.5033 Å, c = 9.5033 Å
α = 33.50°, β = 33.50°, γ = 33.50°
Sites, in units of the cell vectors:
Nd 0.0000 0.0000 0.0000
Nd 0.1290 0.1290 0.1290
Nd 0.5146 0.5146 0.5146
Hg 0.6359 0.6359 0.6359
Pt 0.0697 0.0697 0.5640
Pt 0.0697 0.5640 0.0697
Pt 0.0716 0.5696 0.5696
Pt 0.3189 0.3189 0.3189
Pt 0.5640 0.0697 0.0697
Pt 0.5696 0.0716 0.5696
Pt 0.5696 0.5696 0.0716
Pt 0.8189 0.8189 0.8189

Summary:
Energy of formation from the pure elements = -918 meV per atom
Space-group type = R3m (160)

Computed, not measured: a relaxed structure of NdPuHg at the GGA-PBE level of DFT.

a = 5.0071 Å, b = 5.0071 Å, c = 5.0071 Å
α = 60.00°, β = 60.00°, γ = 60.00°
Sites, in units of the cell vectors:
Nd 0.0000 0.0000 0.0000
Pu 0.7500 0.7500 0.7500
Hg 0.5000 0.5000 0.5000

Summary:
Energy of formation from the pure elements = 274 meV per atom
Space-group type = F-43m (216)

Computed, not measured: a relaxed structure of RbNdHgS3 at the GGA-PBE level of DFT.

a = 9.2445 Å, b = 9.2445 Å, c = 9.0767 Å
α = 102.82°, β = 102.82°, γ = 26.41°
Sites, in units of the cell vectors:
Rb 0.1430 0.1430 0.0720
Rb 0.8570 0.8570 0.9280
Nd 0.1689 0.1689 0.5798
Nd 0.8311 0.8311 0.4202
Hg 0.4833 0.4833 0.2731
Hg 0.5167 0.5167 0.7269
S 0.0000 0.0000 0.5000
S 0.3294 0.3294 0.6286
S 0.3341 0.3341 0.2124
S 0.5000 0.5000 0.0000
S 0.6659 0.6659 0.7876
S 0.6706 0.6706 0.3714

Summary:
Electronic total energy = -4.225 eV/atom
Space-group type = C2/m (12)